Li3Ac2Zn4 | GGA-PBE | optimized geometry

Lattice parameters (Å, degrees): 8.6561 8.6561 8.6561 130.06 84.49 116.91
Last column: nearest neighbours and their distance in Å.
Fractional coordinates of all 18 atoms:
1 Li 0.0226 0.2500 0.7726  4 Zn 2.65-2.70, 1 Li 2.91
2 Li 0.2500 0.2500 0.0000  4 Zn 2.76, 2 Li 2.91
3 Li 0.4774 0.2500 0.2274  4 Zn 2.65-2.70, 1 Li 2.91
4 Li 0.5226 0.7500 0.7726  4 Zn 2.65-2.70, 1 Li 2.91
5 Li 0.7500 0.7500 0.0000  4 Zn 2.76, 2 Li 2.91
6 Li 0.9774 0.7500 0.2274  4 Zn 2.65-2.70, 1 Li 2.91
7 Ac 0.1181 0.7108 0.8289  8 Zn 3.25-3.61, 6 Li 3.38-3.45
8 Ac 0.3819 0.2108 0.5926  8 Zn 3.25-3.61, 6 Li 3.38-3.45
9 Ac 0.6181 0.7892 0.4074  8 Zn 3.25-3.61, 6 Li 3.38-3.45
10 Ac 0.8819 0.2892 0.1711  8 Zn 3.25-3.61, 6 Li 3.38-3.45
11 Zn 0.0192 0.8603 0.5980  1 Zn 2.55, 3 Li 2.65-2.76
12 Zn 0.2377 0.6397 0.1589  1 Zn 2.55, 3 Li 2.65-2.76
13 Zn 0.2623 0.4212 0.4020  1 Zn 2.55, 3 Li 2.65-2.76
14 Zn 0.4808 0.0788 0.8411  1 Zn 2.55, 3 Li 2.65-2.76
15 Zn 0.5192 0.9212 0.1589  1 Zn 2.55, 3 Li 2.65-2.76
16 Zn 0.7377 0.5788 0.5980  1 Zn 2.55, 3 Li 2.65-2.76
17 Zn 0.7623 0.3603 0.8411  1 Zn 2.55, 3 Li 2.65-2.76
18 Zn 0.9808 0.1397 0.4020  1 Zn 2.55, 3 Li 2.65-2.76

Output
- relative energy among the computed polymorphs (eV per atom) = 0.0345
- SG = Ibam


LiAcZn2 | GGA-PBE | optimized geometry

Lattice parameters (Å, degrees): 5.8245 5.8245 7.0521 90.00 90.00 130.13
Last column: nearest neighbours and their distance in Å.
Fractional coordinates of all 8 atoms:
1 Li 0.2095 0.7905 0.7500  6 Zn 2.89-2.93, 3 Ac 3.20-3.22
2 Li 0.7905 0.2095 0.2500  6 Zn 2.89-2.93, 3 Ac 3.20-3.22
3 Ac 0.0939 0.9061 0.2500  3 Li 3.20-3.22, 10 Zn 3.29-3.56
4 Ac 0.9061 0.0939 0.7500  3 Li 3.20-3.22, 10 Zn 3.29-3.56
5 Zn 0.3811 0.6189 0.0693  2 Zn 2.55-2.70
6 Zn 0.3811 0.6189 0.4307  2 Zn 2.55-2.70
7 Zn 0.6189 0.3811 0.5693  2 Zn 2.55-2.70
8 Zn 0.6189 0.3811 0.9307  2 Zn 2.55-2.70

Output
- relative energy among the computed polymorphs (eV per atom) = 0.0308
- SG = Cmcm


Li2AcZn2 | GGA-PBE | optimized geometry

Lattice parameters (Å, degrees): 12.6408 12.6408 12.6408 161.45 158.82 28.30
Last column: nearest neighbours and their distance in Å.
Fractional coordinates of all 10 atoms:
1 Li 0.0407 0.2907 0.7500  2 Zn 2.68, 2 Li 2.85
2 Li 0.4538 0.2038 0.2500  2 Zn 2.83, 8 Li 3.05-3.15
3 Li 0.5462 0.7962 0.7500  2 Zn 2.83, 8 Li 3.05-3.15
4 Li 0.9593 0.7093 0.2500  2 Zn 2.68, 2 Li 2.85
5 Ac 0.3312 0.5812 0.7500  10 Zn 3.34-3.39, 2 Li 3.63
6 Ac 0.6688 0.4188 0.2500  10 Zn 3.34-3.39, 2 Li 3.63
7 Zn 0.1120 0.8620 0.2500  4 Li 2.68-2.83, 1 Zn 2.73
8 Zn 0.2234 0.9734 0.2500  3 Zn 2.66-2.73
9 Zn 0.7766 0.0266 0.7500  3 Zn 2.66-2.73
10 Zn 0.8880 0.1380 0.7500  4 Li 2.68-2.83, 1 Zn 2.73

Output
- relative energy among the computed polymorphs (eV per atom) = 0.0000
- SG = Imma


Li2AcZn | GGA-PBE | optimized geometry

Lattice parameters (Å, degrees): 3.6483 3.6483 7.3597 90.00 90.00 90.00
Last column: nearest neighbours and their distance in Å.
Fractional coordinates of all 4 atoms:
1 Li 0.0000 0.0000 0.1753  1 Li 2.58, 4 Zn 2.88
2 Li 0.0000 0.0000 0.8247  1 Li 2.58, 4 Zn 2.88
3 Ac 0.5000 0.5000 0.5000  8 Li 3.52, 4 Ac 3.65, 2 Zn 3.68
4 Zn 0.5000 0.5000 0.0000  8 Li 2.88

Output
- relative energy among the computed polymorphs (eV per atom) = 0.1323
- SG = P4/mmm


Li3Ac2Zn4 | GGA-PBE | optimized geometry

Lattice parameters (Å, degrees): 8.7178 8.7178 8.2004 90.00 90.00 138.79
Last column: nearest neighbours and their distance in Å.
Fractional coordinates of all 18 atoms:
1 Li 0.0000 0.0000 0.0000  6 Zn 2.71-2.91
2 Li 0.0306 0.4694 0.2500  5 Zn 2.69-2.97
3 Li 0.4694 0.0306 0.7500  5 Zn 2.69-2.97
4 Li 0.5000 0.5000 0.5000  6 Zn 2.71-2.91
5 Li 0.5306 0.9694 0.2500  5 Zn 2.69-2.97
6 Li 0.9694 0.5306 0.7500  5 Zn 2.69-2.97
7 Ac 0.1153 0.8847 0.4150  8 Zn 3.28-3.47, 6 Li 3.38-3.67
8 Ac 0.3847 0.6153 0.9150  8 Zn 3.28-3.47, 6 Li 3.38-3.67
9 Ac 0.6153 0.3847 0.0850  8 Zn 3.28-3.47, 6 Li 3.38-3.67
10 Ac 0.8847 0.1153 0.5850  8 Zn 3.28-3.47, 6 Li 3.38-3.67
11 Zn 0.1781 0.8219 0.0171  5 Li 2.76-2.97
12 Zn 0.1953 0.3047 0.2500  3 Li 2.69-2.71
13 Zn 0.3047 0.1953 0.7500  3 Li 2.69-2.71
14 Zn 0.3219 0.6781 0.5171  5 Li 2.76-2.97
15 Zn 0.6781 0.3219 0.4829  5 Li 2.76-2.97
16 Zn 0.6953 0.8047 0.2500  3 Li 2.69-2.71
17 Zn 0.8047 0.6953 0.7500  3 Li 2.69-2.71
18 Zn 0.8219 0.1781 0.9829  5 Li 2.76-2.97

Output
- relative energy among the computed polymorphs (eV per atom) = 0.0000
- SG = Cmce


LiAcZn2 | GGA-PBE | optimized geometry

Lattice parameters (Å, degrees): 5.1595 5.1595 5.1595 60.00 60.00 60.00
Last column: nearest neighbours and their distance in Å.
Fractional coordinates of all 4 atoms:
1 Li 0.0000 0.0000 0.0000  8 Zn 3.16
2 Ac 0.5000 0.5000 0.5000  8 Zn 3.16
3 Zn 0.2500 0.2500 0.2500  4 Ac 3.16, 4 Li 3.16
4 Zn 0.7500 0.7500 0.7500  4 Ac 3.16, 4 Li 3.16

Output
- relative energy among the computed polymorphs (eV per atom) = 0.0552
- SG = Fm-3m


Li6AcZn2 | GGA-PBE | optimized geometry

Lattice parameters (Å, degrees): 7.3633 7.3633 3.9781 105.57 105.57 66.23
Last column: nearest neighbours and their distance in Å.
Fractional coordinates of all 9 atoms:
1 Li 0.0579 0.3942 0.2258  4 Li 2.45-2.71, 2 Zn 2.71
2 Li 0.1618 0.8382 0.0000  3 Li 2.60-2.64, 4 Zn 2.75-2.76
3 Li 0.3942 0.0579 0.2258  4 Li 2.45-2.71, 2 Zn 2.71
4 Li 0.6058 0.9421 0.7742  4 Li 2.45-2.71, 2 Zn 2.71
5 Li 0.8382 0.1618 0.0000  3 Li 2.60-2.64, 4 Zn 2.75-2.76
6 Li 0.9421 0.6058 0.7742  4 Li 2.45-2.71, 2 Zn 2.71
7 Ac 0.5000 0.5000 0.5000  8 Li 3.37-3.48
8 Zn 0.1187 0.1187 0.6192  8 Li 2.71-2.76, 1 Zn 2.77
9 Zn 0.8813 0.8813 0.3808  8 Li 2.71-2.76, 1 Zn 2.77

Output
- relative energy among the computed polymorphs (eV per atom) = 0.1645
- SG = C2/m


Li2AcZn | GGA-PBE | optimized geometry

Lattice parameters (Å, degrees): 4.3487 8.1918 6.0025 90.00 110.77 90.00
Last column: nearest neighbours and their distance in Å.
Fractional coordinates of all 8 atoms:
1 Li 0.1640 0.0570 0.3273  3 Zn 2.77-2.79, 2 Li 3.05-3.07
2 Li 0.1640 0.4430 0.3273  3 Zn 2.77-2.79, 2 Li 3.05-3.07
3 Li 0.8360 0.5570 0.6727  3 Zn 2.77-2.79, 2 Li 3.05-3.07
4 Li 0.8360 0.9430 0.6727  3 Zn 2.77-2.79, 2 Li 3.05-3.07
5 Ac 0.4389 0.2500 0.8847  3 Zn 3.21-3.25, 6 Li 3.51-3.53
6 Ac 0.5611 0.7500 0.1153  3 Zn 3.21-3.25, 6 Li 3.51-3.53
7 Zn 0.2703 0.7500 0.5443  6 Li 2.77-2.79
8 Zn 0.7297 0.2500 0.4557  6 Li 2.77-2.79

Output
- relative energy among the computed polymorphs (eV per atom) = 0.0000
- SG = P2_1/m


LiAcZn2 | GGA-PBE | optimized geometry

Lattice parameters (Å, degrees): 5.2638 5.2638 3.7011 90.00 90.00 90.00
Last column: nearest neighbours and their distance in Å.
Fractional coordinates of all 4 atoms:
1 Li 0.0000 0.0000 0.0000  8 Zn 3.22
2 Ac 0.5000 0.5000 0.0000  8 Zn 3.22
3 Zn 0.0000 0.5000 0.5000  4 Ac 3.22, 4 Li 3.22
4 Zn 0.5000 0.0000 0.5000  4 Ac 3.22, 4 Li 3.22

Output
- relative energy among the computed polymorphs (eV per atom) = 0.1708
- SG = P4/mmm


Li3AcZn2 | GGA-PBE | optimized geometry

Lattice parameters (Å, degrees): 10.1407 10.1407 4.4372 90.00 90.00 120.00
Last column: nearest neighbours and their distance in Å.
Fractional coordinates of all 18 atoms:
1 Li 0.0000 0.2948 0.0000  4 Zn 2.77, 4 Li 2.99-3.04
2 Li 0.0000 0.5000 0.5000  4 Zn 2.75, 4 Li 3.04
3 Li 0.0000 0.7052 0.0000  4 Zn 2.77, 4 Li 2.99-3.04
4 Li 0.2948 0.0000 0.0000  4 Zn 2.77, 4 Li 2.99-3.04
5 Li 0.2948 0.2948 0.0000  4 Zn 2.77, 4 Li 2.99-3.04
6 Li 0.5000 0.0000 0.5000  4 Zn 2.75, 4 Li 3.04
7 Li 0.5000 0.5000 0.5000  4 Zn 2.75, 4 Li 3.04
8 Li 0.7052 0.0000 0.0000  4 Zn 2.77, 4 Li 2.99-3.04
9 Li 0.7052 0.7052 0.0000  4 Zn 2.77, 4 Li 2.99-3.04
10 Ac 0.0000 0.0000 0.5000  6 Zn 3.31
11 Ac 0.3333 0.6667 0.0000  6 Zn 3.37, 12 Li 3.59-3.67
12 Ac 0.6667 0.3333 0.0000  6 Zn 3.37, 12 Li 3.59-3.67
13 Zn 0.1887 0.3773 0.5000  6 Li 2.75-2.77
14 Zn 0.1887 0.8113 0.5000  6 Li 2.75-2.77
15 Zn 0.3773 0.1887 0.5000  6 Li 2.75-2.77
16 Zn 0.6227 0.8113 0.5000  6 Li 2.75-2.77
17 Zn 0.8113 0.1887 0.5000  6 Li 2.75-2.77
18 Zn 0.8113 0.6227 0.5000  6 Li 2.75-2.77

Output
- relative energy among the computed polymorphs (eV per atom) = 0.0000
- SG = P6/mmm


LiAc2Zn7 | GGA-PBE | optimized geometry

Lattice parameters (Å, degrees): 4.5649 4.5649 10.1485 90.00 90.00 90.00
Last column: nearest neighbours and their distance in Å.
Fractional coordinates of all 10 atoms:
1 Li 0.0000 0.0000 0.0000  4 Zn 2.59
2 Ac 0.0000 0.5000 0.7458  14 Zn 3.38-3.50, 2 Li 3.44
3 Ac 0.5000 0.0000 0.2542  14 Zn 3.38-3.50, 2 Li 3.44
4 Zn 0.0000 0.0000 0.5000  4 Zn 2.64
5 Zn 0.0000 0.5000 0.1208  3 Zn 2.53-2.59, 2 Li 2.59
6 Zn 0.0000 0.5000 0.3702  5 Zn 2.53-2.64
7 Zn 0.5000 0.0000 0.6298  5 Zn 2.53-2.64
8 Zn 0.5000 0.0000 0.8792  3 Zn 2.53-2.59, 2 Li 2.59
9 Zn 0.5000 0.5000 0.0000  4 Zn 2.59
10 Zn 0.5000 0.5000 0.5000  4 Zn 2.64

Output
- SG = P-4m2


What are the energy of formation values for these records? In order: -93.8; -71.3; -75.9; 17.1; -123.8; -61.8; 69.5; -34.0; -17.2; -78.9; -249.7 kJ/mol of formula units.
What are the M_tot values for these records? In order: 0.000; 0.000; 0.000; 0.000; 0.000; 0.000; 0.000; 0.000; 0.000; 0.000; 0.000 μB/atom.
What are the DOS(E_F) values for these records? In order: 0.4899; 0.7211; 0.9405; 0.8104; 0.5671; 0.7178; 0.4653; 0.6985; 0.8393; 0.6496; 0.8206 states/eV/atom.